(1)
A relaxed SrTaCo2Au crystal, computed with GGA-PBE.

The structure in POSCAR format:
```
SrTaCo2Au
1.0
4.427 0.000 0.000
0.000 4.427 0.000
0.000 0.000 5.244
Sr Ta Co Au
1 1 2 1
Direct
0.000 0.000 0.000
0.500 0.500 0.500
0.000 0.500 0.000
0.500 0.000 0.000
0.000 0.000 0.500
```

The formation energy comes out at 2.14 eV per atom.

---

(2)
A relaxed SrCoTc2Au crystal, computed with GGA-PBE.

The structure in POSCAR format:
```
SrCoTc2Au
1.0
5.095 0.000 0.000
0.000 5.095 0.000
0.000 0.000 4.791
Sr Co Tc Au
1 1 2 1
Direct
0.000 0.000 0.000
0.500 0.500 0.000
0.000 0.500 0.500
0.500 0.000 0.500
0.500 0.500 0.500
```

The formation energy comes out at 1.45 eV per atom.

---

(3)
A relaxed SrCoTeAu2 crystal, computed with GGA-PBE.

The structure in POSCAR format:
```
SrCoTeAu2
1.0
5.646 0.000 0.000
0.000 5.646 0.000
0.000 0.000 6.208
Sr Co Te Au
1 1 1 2
Direct
0.000 0.000 0.000
0.500 0.500 0.500
0.000 0.000 0.500
0.000 0.500 0.000
0.500 0.000 0.000
```

The uncorrected formation energy is 1.072 eV per atom.

---

(4)
A relaxed Sr2CoWAu crystal, computed with GGA-PBE.

The structure in POSCAR format:
```
Sr2CoWAu
1.0
5.884 0.000 0.000
0.000 5.884 0.000
0.000 0.000 4.716
Sr Co W Au
2 1 1 1
Direct
0.000 0.500 0.000
0.500 0.000 0.000
0.000 0.000 0.500
0.500 0.500 0.500
0.000 0.000 0.000
```

The formation energy comes out at 1.22 eV per atom.

---

no.,total magnetization (μB per formula unit)
1,0.00
2,7.82
3,2.45
4,6.09